A relaxed AlPbAu2 crystal. Source: Alexandria, functional PBE-GGA.

Results
offset from the most stable computed form: 98 meV/atom
energy of formation: -0.131 eV/atom
spin magnetization: 0.000 μB/cell

Cell: 8.7047 3.7189 5.7363 Å, 90.00 103.93 90.00°
Closest atoms and distances in Å follow each position.
Element x y z (fractional)
Al 0.0000 0.0000 0.0000  5 Au 2.58-2.65
Al 0.5000 0.5000 0.0000  5 Au 2.58-2.65
Pb 0.2857 0.5000 0.4083  5 Au 2.97-3.16, 1 Al 3.33
Pb 0.7857 0.0000 0.4083  5 Au 2.97-3.16, 1 Al 3.33
Au 0.0411 0.5000 0.6920  2 Al 2.65
Au 0.2898 0.0000 0.9654  3 Al 2.58
Au 0.5411 0.0000 0.6920  2 Al 2.65
Au 0.7898 0.5000 0.9654  3 Al 2.58